# 1
KSiAu2 after structural relaxation, computed with PBE.

Electronic total energy in eV/atom: -3.21
Crystal system: orthorhombic
E_form (uncorrected) in eV per atom: 0.06
M_tot in μB/atom: 0.00

Cell: 2.8933 3.7683 8.0657 Å, 90.00 90.00 90.00°
Sites, in units of the cell vectors:
K  0.0000  0.0000  0.0000
Si  0.0000  0.0000  0.5000
Au  0.5000  0.5000  0.3134
Au  0.5000  0.5000  0.6866

---

# 2
BaYRu2 after structural relaxation, computed with PBE.

Energy of formation from the pure elements in eV/atom: 0.640
Electronic total energy in eV/atom: -6.09
Crystal system: tetragonal
M_tot in μB/atom: 0.00

Cell: 5.9556 5.9556 5.9556 Å, 139.35 139.35 58.84°
Sites, in units of the cell vectors:
Ba  0.0000  0.0000  0.0000
Y  0.7500  0.2500  0.5000
Ru  0.2500  0.7500  0.5000
Ru  0.5000  0.5000  0.0000

---

# 3
LiEuAsPd after structural relaxation, computed with PBE.

Energy of formation from the pure elements in eV/atom: -0.671
Electronic total energy in eV/atom: -6.18
Crystal system: cubic
M_tot in μB/atom: 1.75

Cell: 4.7335 4.7335 4.7335 Å, 60.00 60.00 60.00°
Sites, in units of the cell vectors:
Li  0.0000  0.0000  0.0000
Eu  0.2500  0.2500  0.2500
As  0.7500  0.7500  0.7500
Pd  0.5000  0.5000  0.5000

---

# 4
ZrPb2Br after structural relaxation, computed with PBE.

Polymorph energy (0 for the lowest one) in eV/atom: 0.208
Electronic total energy in eV/atom: -4.54
Crystal system: orthorhombic
E_form (uncorrected) in eV per atom: -0.13
M_tot in μB/atom: 0.00

Cell: 7.7208 7.7208 7.7208 Å, 155.40 143.28 44.69°
Sites, in units of the cell vectors:
Zr  0.0000  0.0000  0.0000
Pb  0.1957  0.6957  0.5000
Pb  0.8043  0.3043  0.5000
Br  0.5000  0.5000  0.0000

---

Which value of electronic total energy does entry 1 give?
-3.21 eV/atom

---

Look up the M_tot of the fourth one.
0.00 μB/atom